First-principles (PBE-GGA) data for a relaxed structure of LiCd3Rh, as listed in Alexandria via LeMat-Bulk.

Structure (POSCAR):
```
LiCd3Rh
1.0
4.583 0.084 1.244
2.318 3.954 1.244
5.044 2.952 21.952
Cd Li Rh
12 4 4
Direct
0.013 0.513 0.295
0.014 0.514 0.894
0.486 0.986 0.606
0.246 0.746 0.553
0.987 0.487 0.705
0.514 0.014 0.394
0.986 0.486 0.106
0.254 0.754 0.947
0.487 0.987 0.205
0.746 0.246 0.053
0.754 0.254 0.447
0.513 0.013 0.795
0.000 0.500 0.500
0.750 0.250 0.250
0.500 0.000 0.000
0.250 0.750 0.750
0.756 0.256 0.850
0.244 0.744 0.150
0.256 0.756 0.350
0.744 0.244 0.650
```

Results
Total magnetization   0.00 Bohr magnetons per cell
Calculated density   8.23 g/cm³
Relative energy among the computed polymorphs   0.8 kJ per mole of atoms
Electronic total energy   -2.577 eV per atom
Density of states at the Fermi level   7.35 states/eV per cell

=====

First-principles (PBE-GGA) data for a relaxed structure of LiCd3Rh, as listed in Alexandria via LeMat-Bulk.

Structure (POSCAR):
```
LiCd3Rh
1.0
5.172 0.000 0.000
0.000 5.172 0.000
0.000 0.000 5.172
Rh Cd Li
1 3 1
Direct
0.000 0.000 0.000
0.000 0.500 0.000
0.000 0.000 0.500
0.500 0.000 0.000
0.500 0.500 0.500
```

Results
Total magnetization   0.00 Bohr magnetons per cell
Calculated density   5.37 g/cm³
Relative energy among the computed polymorphs   25.2 kJ per mole of atoms
Electronic total energy   -2.324 eV per atom
Density of states at the Fermi level   1.69 states/eV per cell

=====

First-principles (PBE-GGA) data for a relaxed structure of Li2CdRh, as listed in Alexandria via LeMat-Bulk.

Structure (POSCAR):
```
Li2CdRh
1.0
-1.145 -0.695 2.946
2.999 0.162 1.204
-0.715 5.565 1.035
Li Rh Cd
2 1 1
Direct
0.000 0.000 0.463
0.000 0.000 0.037
0.500 0.500 0.250
0.500 0.500 0.750
```

Results
Total magnetization   0.00 Bohr magnetons per cell
Calculated density   6.37 g/cm³
Electronic total energy   -3.175 eV per atom
Density of states at the Fermi level   1.18 states/eV per cell

=====

First-principles (PBE-GGA) data for a relaxed structure of Li2Cd3Rh2, as listed in Alexandria via LeMat-Bulk.

Structure (POSCAR):
```
Li2Cd3Rh2
1.0
4.531 0.006 -0.002
2.268 4.814 0.069
-0.004 -0.544 5.320
Cd Li Rh
3 2 2
Direct
0.160 0.680 0.430
0.000 0.000 0.000
0.840 0.320 0.570
0.439 0.121 0.283
0.561 0.879 0.717
0.289 0.421 0.887
0.711 0.579 0.113
```

Results
Total magnetization   0.00 Bohr magnetons per cell
Calculated density   7.96 g/cm³
Electronic total energy   -3.221 eV per atom
Density of states at the Fermi level   3.46 states/eV per cell

=====

First-principles (PBE-GGA) data for a relaxed structure of Li4CdRh2, as listed in Alexandria via LeMat-Bulk.

Structure (POSCAR):
```
Li4CdRh2
1.0
-4.183 -1.173 2.905
1.203 -2.548 -4.402
4.005 -1.126 3.164
Li Rh Cd
4 2 1
Direct
0.797 0.797 0.594
0.203 0.797 0.000
0.203 0.203 0.406
0.797 0.203 0.000
0.750 0.250 0.500
0.250 0.750 0.500
0.500 0.500 0.000
```

Results
Total magnetization   0.00 Bohr magnetons per cell
Calculated density   5.46 g/cm³
Relative energy among the computed polymorphs   0.2 kJ per mole of atoms
Electronic total energy   -3.445 eV per atom
Density of states at the Fermi level   1.68 states/eV per cell

=====

First-principles (PBE-GGA) data for a relaxed structure of Li2CdRh, as listed in Alexandria via LeMat-Bulk.

Structure (POSCAR):
```
Li2CdRh
1.0
-2.805 -3.217 1.302
2.273 -1.736 0.608
0.382 1.530 4.600
Li Rh Cd
2 1 1
Direct
0.000 0.493 0.468
0.000 0.007 0.032
0.500 0.250 0.250
0.500 0.750 0.750
```

Results
Total magnetization   0.00 Bohr magnetons per cell
Calculated density   6.01 g/cm³
Electronic total energy   -3.190 eV per atom
Density of states at the Fermi level   2.31 states/eV per cell